Record 1
Density functional theory data (PBE-GGA) for VCuBi2P after structural relaxation.

Structure (CIF):
```
data_VCuBi2P
_cell_length_a 5.451
_cell_length_b 5.451
_cell_length_c 4.460
_cell_angle_alpha 90.00
_cell_angle_beta 90.00
_cell_angle_gamma 90.00
_space_group_name_H-M_alt 'P 4/m m m'
_space_group_IT_number 123
_space_group_name_Hall '-P 4 2'
loop_
_atom_site_label
_atom_site_type_symbol
_atom_site_fract_x
_atom_site_fract_y
_atom_site_fract_z
V1 V 0.000 0.000 0.000
Cu1 Cu 0.500 0.500 0.000
Bi1 Bi 0.000 0.500 0.500
P1 P 0.000 0.000 0.500
```

Results
Formation energy from the elements   708 meV per atom

Record 2
Density functional theory data (PBE-GGA) for CaScAl2Ga after structural relaxation.

Structure (CIF):
```
data_CaScAl2Ga
_cell_length_a 5.420
_cell_length_b 5.420
_cell_length_c 5.369
_cell_angle_alpha 90.00
_cell_angle_beta 90.00
_cell_angle_gamma 90.00
_space_group_name_H-M_alt 'P 4/m m m'
_space_group_IT_number 123
_space_group_name_Hall '-P 4 2'
loop_
_atom_site_label
_atom_site_type_symbol
_atom_site_fract_x
_atom_site_fract_y
_atom_site_fract_z
Ca1 Ca 0.000 0.000 0.000
Sc1 Sc 0.000 0.000 0.500
Al1 Al 0.000 0.500 0.000
Ga1 Ga 0.500 0.500 0.500
```

Results
Formation energy from the elements   1209 meV per atom

Record 3
Density functional theory data (PBE-GGA) for Y2BrCl after structural relaxation.

Structure (CIF):
```
data_Y2BrCl
_cell_length_a 3.632
_cell_length_b 5.524
_cell_length_c 5.344
_cell_angle_alpha 90.00
_cell_angle_beta 102.93
_cell_angle_gamma 90.00
_space_group_name_H-M_alt 'P 1 m 1'
_space_group_IT_number 6
loop_
_space_group_symop_operation_xyz
'x,y,z'
'x,-y,z'
loop_
_atom_site_label
_atom_site_type_symbol
_atom_site_fract_x
_atom_site_fract_y
_atom_site_fract_z
Y1 Y 0.000 0.000 0.000
Y2 Y 0.467 0.500 0.375
Br1 Br 0.103 0.500 0.818
Cl1 Cl 0.385 0.000 0.562
```

Results
Formation energy without anion corrections   -4.145 eV per formula unit

Record 4
Density functional theory data (PBE-GGA) for RbTe2P after structural relaxation.

Structure (CIF):
```
data_RbTe2P
_cell_length_a 6.3425
_cell_length_b 6.3425
_cell_length_c 20.1047
_cell_angle_alpha 90.00
_cell_angle_beta 90.00
_cell_angle_gamma 120.00
_space_group_name_H-M_alt 'R -3 m'
_space_group_IT_number 166
_space_group_name_Hall '-R 3 2"'
loop_
_atom_site_label
_atom_site_type_symbol
_atom_site_fract_x
_atom_site_fract_y
_atom_site_fract_z
Rb1 Rb 0.0000 0.0000 0.0000
Te1 Te 0.0000 0.0000 0.3782
P1 P 0.0000 0.0000 0.5000
```

Results
Formation energy without anion corrections   0.719 eV per formula unit

Record 5
Density functional theory data (PBE-GGA) for Nd3GdAl4O12 after structural relaxation.

Structure (CIF):
```
data_Nd3GdAl4O12
_cell_length_a 5.348
_cell_length_b 7.568
_cell_length_c 5.358
_cell_angle_alpha 90.00
_cell_angle_beta 90.15
_cell_angle_gamma 90.00
_space_group_name_H-M_alt 'P 1 m 1'
_space_group_IT_number 6
loop_
_space_group_symop_operation_xyz
'x,y,z'
'x,-y,z'
loop_
_atom_site_label
_atom_site_type_symbol
_atom_site_fract_x
_atom_site_fract_y
_atom_site_fract_z
Nd1 Nd 0.000 0.000 0.000
Nd2 Nd 0.047 0.500 0.013
Nd3 Nd 0.545 0.500 0.500
Gd1 Gd 0.493 0.000 0.513
Al1 Al 0.022 0.249 0.505
Al2 Al 0.523 0.249 0.006
O1 O 0.013 0.500 0.570
O2 O 0.039 0.000 0.442
O3 O 0.252 0.215 0.776
O4 O 0.295 0.285 0.277
O5 O 0.518 0.500 0.942
O6 O 0.529 0.000 0.079
O7 O 0.747 0.210 0.730
O8 O 0.797 0.283 0.232
```

Results
Formation energy without anion corrections   -65.111 eV per formula unit

Record 6
Density functional theory data (PBE-GGA) for CeSm3 after structural relaxation.

Structure (CIF):
```
data_CeSm3
_cell_length_a 5.086
_cell_length_b 5.086
_cell_length_c 5.086
_cell_angle_alpha 90.00
_cell_angle_beta 90.00
_cell_angle_gamma 90.00
_space_group_name_H-M_alt 'P m -3 m'
_space_group_IT_number 221
_space_group_name_Hall '-P 4 2 3'
loop_
_atom_site_label
_atom_site_type_symbol
_atom_site_fract_x
_atom_site_fract_y
_atom_site_fract_z
Ce1 Ce 0.000 0.000 0.000
Sm1 Sm 0.000 0.500 0.500
```

Results
Formation energy from the elements   78 meV per atom

Record 7
Density functional theory data (PBE-GGA) for Cs2SrPtO4 after structural relaxation.

Structure (CIF):
```
data_Cs2SrPtO4
_cell_length_a 6.576
_cell_length_b 14.573
_cell_length_c 24.461
_cell_angle_alpha 90.00
_cell_angle_beta 90.00
_cell_angle_gamma 90.00
_space_group_name_H-M_alt 'F d d d'
_space_group_IT_number 70
loop_
_space_group_symop_operation_xyz
'x,y,z'
'-x,-y,-z'
'-x+1/4,-y+1/4,z'
'x+1/4,y+1/4,-z'
'x,-y+1/4,-z+1/4'
'-x,y+1/4,z+1/4'
'-x+1/4,y,-z+1/4'
'x+1/4,-y,z+1/4'
'x,y+1/2,z+1/2'
'-x,-y+1/2,-z+1/2'
'-x+1/4,-y+3/4,z+1/2'
'x+1/4,y+3/4,-z+1/2'
'x,-y+3/4,-z+3/4'
'-x,y+3/4,z+3/4'
'-x+1/4,y+1/2,-z+3/4'
'x+1/4,-y+1/2,z+3/4'
'x+1/2,y,z+1/2'
'-x+1/2,-y,-z+1/2'
'-x+3/4,-y+1/4,z+1/2'
'x+3/4,y+1/4,-z+1/2'
'x+1/2,-y+1/4,-z+3/4'
'-x+1/2,y+1/4,z+3/4'
'-x+3/4,y,-z+3/4'
'x+3/4,-y,z+3/4'
'x+1/2,y+1/2,z'
'-x+1/2,-y+1/2,-z'
'-x+3/4,-y+3/4,z'
'x+3/4,y+3/4,-z'
'x+1/2,-y+3/4,-z+1/4'
'-x+1/2,y+3/4,z+1/4'
'-x+3/4,y+1/2,-z+1/4'
'x+3/4,-y+1/2,z+1/4'
loop_
_atom_site_label
_atom_site_type_symbol
_atom_site_fract_x
_atom_site_fract_y
_atom_site_fract_z
Cs1 Cs 0.125 0.125 0.312
Sr1 Sr 0.125 0.125 0.125
Pt1 Pt 0.125 0.125 0.625
O1 O 0.085 0.279 0.875
```

Results
Formation energy without anion corrections   -9.569 eV per formula unit

Record 8
Density functional theory data (PBE-GGA) for NiIr2Rh after structural relaxation.

Structure (CIF):
```
data_NiIr2Rh
_cell_length_a 2.711
_cell_length_b 3.772
_cell_length_c 5.337
_cell_angle_alpha 90.00
_cell_angle_beta 90.00
_cell_angle_gamma 90.00
_space_group_name_H-M_alt 'P m m 2'
_space_group_IT_number 25
loop_
_space_group_symop_operation_xyz
'x,y,z'
'-x,-y,z'
'-x,y,z'
'x,-y,z'
loop_
_atom_site_label
_atom_site_type_symbol
_atom_site_fract_x
_atom_site_fract_y
_atom_site_fract_z
Ni1 Ni 0.000 0.000 0.000
Ir1 Ir 0.000 0.000 0.506
Ir2 Ir 0.500 0.500 0.756
Rh1 Rh 0.500 0.500 0.245
```

Results
Formation energy from the elements   -4 meV per atom